{"formula": "CaFe2Au", "functional": "PBE", "state": "relaxed", "lattice": [[3.968, 0.000, 0.000], [0.000, 4.011, 0.000], [0.000, 0.000, 4.337]], "species": ["Ca", "Fe", "Fe", "Au"], "frac_coords": [[0.000, 0.000, 0.000], [0.000, 0.500, 0.500], [0.500, 0.000, 0.500], [0.500, 0.500, 0.000]], "energy_ev_per_fu": -21.12, "total_magnetization_mub_per_cell": 5.11}

{"formula": "CaFe2Au", "functional": "PBE", "state": "relaxed", "lattice": [[3.503, 0.000, 0.000], [0.000, 3.503, 0.000], [0.000, 0.000, 6.264]], "species": ["Ca", "Fe", "Fe", "Au"], "frac_coords": [[0.000, 0.000, 0.000], [0.500, 0.500, 0.322], [0.500, 0.500, 0.678], [0.000, 0.000, 0.500]], "energy_ev_per_fu": -20.87, "total_magnetization_mub_per_cell": 5.56}

{"formula": "CaFeAu", "functional": "PBE", "state": "relaxed", "lattice": [[6.708, 0.000, 0.000], [0.000, 6.708, 0.000], [0.000, 0.000, 6.708]], "species": ["Ca", "Ca", "Ca", "Ca", "Fe", "Fe", "Fe", "Fe", "Au", "Au", "Au", "Au"], "frac_coords": [[0.000, 0.000, 0.000], [0.000, 0.500, 0.500], [0.500, 0.000, 0.500], [0.500, 0.500, 0.000], [0.250, 0.250, 0.250], [0.250, 0.750, 0.750], [0.750, 0.250, 0.750], [0.750, 0.750, 0.250], [0.250, 0.250, 0.750], [0.250, 0.750, 0.250], [0.750, 0.250, 0.250], [0.750, 0.750, 0.750]], "energy_ev_per_fu": -11.76, "total_magnetization_mub_per_cell": 12.64}

{"formula": "CaFe3Au", "functional": "PBE", "state": "relaxed", "lattice": [[4.485, 0.000, 0.000], [0.000, 4.485, 0.000], [0.000, 0.000, 4.485]], "species": ["Ca", "Fe", "Fe", "Fe", "Au"], "frac_coords": [[0.000, 0.000, 0.000], [0.000, 0.000, 0.500], [0.000, 0.500, 0.000], [0.500, 0.000, 0.000], [0.500, 0.500, 0.500]], "energy_ev_per_fu": -21.41, "total_magnetization_mub_per_cell": 7.26}

{"formula": "CaFeAu2", "functional": "PBE", "state": "relaxed", "lattice": [[7.719, 0.000, 0.000], [0.000, 4.462, 0.000], [-2.588, 0.000, 5.133]], "species": ["Ca", "Ca", "Fe", "Fe", "Au", "Au", "Au", "Au"], "frac_coords": [[0.000, 0.000, 0.000], [0.500, 0.500, 0.000], [0.192, 0.000, 0.576], [0.692, 0.500, 0.576], [0.040, 0.500, 0.621], [0.297, 0.500, 0.392], [0.540, 0.000, 0.621], [0.797, 0.000, 0.392]], "energy_ev_per_fu": -17.70, "total_magnetization_mub_per_cell": 5.64}

{"formula": "CaFe2Au", "functional": "PBE", "state": "relaxed", "lattice": [[6.495, 0.000, 0.000], [0.000, 6.495, 0.000], [0.000, 0.000, 6.495]], "species": ["Ca", "Ca", "Ca", "Ca", "Fe", "Fe", "Fe", "Fe", "Fe", "Fe", "Fe", "Fe", "Au", "Au", "Au", "Au"], "frac_coords": [[0.000, 0.000, 0.000], [0.000, 0.500, 0.500], [0.500, 0.000, 0.500], [0.500, 0.500, 0.000], [0.250, 0.250, 0.250], [0.250, 0.250, 0.750], [0.250, 0.750, 0.250], [0.250, 0.750, 0.750], [0.750, 0.250, 0.250], [0.750, 0.250, 0.750], [0.750, 0.750, 0.250], [0.750, 0.750, 0.750], [0.000, 0.000, 0.500], [0.000, 0.500, 0.000], [0.500, 0.000, 0.000], [0.500, 0.500, 0.500]], "energy_ev_per_fu": -20.71, "total_magnetization_mub_per_cell": 21.65}